Material: CaSmGaPt
Method: DFT, PBE-GGA
State: relaxed

Lattice parameters (Å, degrees): 5.073 5.073 5.073 60.00 60.00 60.00
Positions (direct):
1 Ca 0.000 0.000 0.000
2 Sm 0.500 0.500 0.500
3 Ga 0.250 0.250 0.250
4 Pt 0.750 0.750 0.750

Computed properties:
The crystal system is cubic. For the total magnetization, the calculation gives 0.00 μB per cell. As for the calculated formation energy: -3.0 eV per formula unit. The relative energy among the computed polymorphs comes out at 6.2 kJ per mole of atoms. As for the space group: F-43m. The electronic total energy comes out at -18.74 eV for the cell shown.


Material: Ca2SmGa3Pt4
Method: DFT, PBE-GGA
State: relaxed

Lattice parameters (Å, degrees): 4.255 4.255 11.540 90.00 90.00 90.00
Positions (direct):
1 Ca 0.000 0.500 0.226
2 Ca 0.500 0.000 0.774
3 Sm 0.000 0.000 0.500
4 Ga 0.000 0.500 0.876
5 Ga 0.500 0.000 0.124
6 Ga 0.500 0.500 0.500
7 Pt 0.000 0.000 0.000
8 Pt 0.000 0.500 0.660
9 Pt 0.500 0.000 0.340
10 Pt 0.500 0.500 0.000

Computed properties:
The crystal system is tetragonal. For the total magnetization, the calculation gives 0.00 μB per cell. As for the calculated formation energy: -8.8 eV per formula unit. As for the space group: P-4m2. The electronic total energy comes out at -50.72 eV for the cell shown.


Material: Ca2Ga3SnPt4
Method: DFT, PBE-GGA
State: relaxed

Lattice parameters (Å, degrees): 4.230 4.230 11.108 90.00 90.00 90.00
Positions (direct):
1 Ca 0.000 0.500 0.244
2 Ca 0.500 0.000 0.756
3 Ga 0.000 0.500 0.870
4 Ga 0.500 0.000 0.130
5 Ga 0.500 0.500 0.500
6 Sn 0.000 0.000 0.500
7 Pt 0.000 0.000 0.000
8 Pt 0.000 0.500 0.647
9 Pt 0.500 0.000 0.353
10 Pt 0.500 0.500 0.000

Computed properties:
The crystal system is tetragonal. For the total magnetization, the calculation gives 0.00 μB per cell. As for the calculated formation energy: -8.3 eV per formula unit. As for the space group: P-4m2. The electronic total energy comes out at -49.55 eV for the cell shown.